Below is crystalline Zr2WO at its relaxed geometry, with properties calculated at the PBE with a Hubbard U level.

## Properties
**E**: -7.948 eV per atom

Cell lengths 2.9790, 2.9790, 26.3394 Å; angles 90.00, 90.00, 120.00 degrees
Space group R-3m (No. 166, hexagonal axes)
Symmetry-distinct sites (fractional):
Zr  0.0000  0.0000  0.1067 (multiplicity 6)
W  0.0000  0.0000  0.0000 (multiplicity 3)
O  0.0000  0.0000  0.5000 (multiplicity 3)